The following is a DFT calculation (PBE+U) of a relaxed structure of Cs2CoF5.

Output
* crystal system: orthorhombic
* size of the total moment: 15.789 μB/cell
* calculated total energy: -4.470 eV/atom
* calculated density: 4.493 Mg/m³

a b c (Å): 6.152 7.953 12.682
angles (deg): 90.00 90.00 90.00
Site moments in Bohr magnetons follow the coordinates.
Sites, in units of the cell vectors:
Cs: 0.250 0.154 0.420  0.00
F: 0.500 0.500 0.500  0.08
F: 0.000 0.000 0.000  0.08
Cs: 0.250 0.981 0.780  0.00
F: 0.750 0.231 0.431  0.14
Cs: 0.750 0.346 0.920  0.00
Co: 0.750 0.345 0.562  3.23
F: 0.250 0.769 0.569  0.14
F: 0.750 0.731 0.069  0.14
F: 0.025 0.799 0.383  0.12
F: 0.000 0.500 0.500  0.08
F: 0.750 0.484 0.678  0.17
F: 0.750 0.984 0.822  0.17
F: 0.250 0.016 0.178  0.17
F: 0.975 0.201 0.617  0.12
Cs: 0.750 0.846 0.580  0.00
Co: 0.750 0.845 0.938  3.23
Co: 0.250 0.155 0.062  3.23
Co: 0.250 0.655 0.438  3.23
Cs: 0.750 0.519 0.280  0.00
Cs: 0.250 0.481 0.720  0.00
F: 0.525 0.201 0.617  0.12
F: 0.475 0.299 0.117  0.12
Cs: 0.250 0.654 0.080  0.00
F: 0.975 0.701 0.883  0.12
F: 0.250 0.269 0.931  0.14
F: 0.025 0.299 0.117  0.12
Cs: 0.750 0.019 0.220  0.00
F: 0.475 0.799 0.383  0.12
F: 0.500 0.000 0.000  0.08
F: 0.250 0.516 0.322  0.17
F: 0.525 0.701 0.883  0.12